Record 1
GaPbS2 PBE relaxed; SG = I-42d (122); D(E_F) = 2.5 states/eV/f.u.; raw formation energy = -0.342 eV/atom
1.0
-5.357 3.116 2.641
1.343 -2.770 5.992
0.649 3.816 5.405
S Ga Pb
4 2 2
direct
0.554 0.125 0.250 S
0.196 0.625 0.250 S
0.875 0.804 0.750 S
0.375 0.446 0.750 S
0.500 0.500 0.000 Ga
0.250 0.750 0.500 Ga
0.000 0.000 0.000 Pb
0.750 0.250 0.500 Pb

Record 2
GaPb3S4 PBE relaxed; SG = Pmn2_1 (31); D(E_F) = 2.7 states/eV/f.u.; raw formation energy = -0.441 eV/atom
1.0
-3.490 -4.702 1.179
1.048 -2.860 -8.299
7.007 -4.584 2.464
S Pb Ga
8 6 2
direct
0.084 0.945 0.000 S
0.584 0.055 0.500 S
0.603 0.210 0.000 S
0.083 0.322 0.768 S
0.083 0.322 0.232 S
0.103 0.790 0.500 S
0.583 0.678 0.268 S
0.583 0.678 0.732 S
0.559 0.886 0.000 Pb
0.552 0.342 0.294 Pb
0.052 0.658 0.206 Pb
0.059 0.114 0.500 Pb
0.552 0.342 0.706 Pb
0.052 0.658 0.794 Pb
0.997 0.200 0.000 Ga
0.497 0.800 0.500 Ga

Record 3
Ga2Pb2S5 PBE relaxed; SG = Pbca (61); D(E_F) = 0.0 states/eV/f.u.; raw formation energy = -0.632 eV/atom; excess energy over the best structure of this formula in the dataset = 0.000 eV/atom
1.0
-7.152 -0.724 -8.709
-1.530 -11.867 2.243
-9.633 2.695 7.686
Ga S Pb
16 40 16
direct
0.064 0.298 0.043 Ga
0.233 0.040 0.529 Ga
0.564 0.702 0.457 Ga
0.767 0.460 0.029 Ga
0.936 0.202 0.543 Ga
0.436 0.798 0.957 Ga
0.267 0.040 0.029 Ga
0.436 0.298 0.543 Ga
0.064 0.798 0.457 Ga
0.733 0.960 0.971 Ga
0.936 0.702 0.957 Ga
0.267 0.540 0.471 Ga
0.733 0.460 0.529 Ga
0.767 0.960 0.471 Ga
0.233 0.540 0.971 Ga
0.564 0.202 0.043 Ga
0.425 0.115 0.935 S
0.256 0.527 0.292 S
0.991 0.214 0.715 S
0.491 0.286 0.715 S
0.009 0.286 0.215 S
0.756 0.473 0.208 S
0.408 0.622 0.028 S
0.745 0.637 0.969 S
0.575 0.385 0.435 S
0.092 0.122 0.972 S
0.925 0.885 0.565 S
0.755 0.137 0.031 S
0.425 0.615 0.565 S
0.592 0.378 0.972 S
0.908 0.878 0.028 S
0.092 0.622 0.528 S
0.244 0.527 0.792 S
0.255 0.863 0.469 S
0.245 0.863 0.969 S
0.509 0.214 0.215 S
0.075 0.115 0.435 S
0.244 0.027 0.708 S
0.744 0.473 0.708 S
0.491 0.786 0.785 S
0.755 0.637 0.469 S
0.075 0.615 0.065 S
0.745 0.137 0.531 S
0.756 0.973 0.292 S
0.592 0.878 0.528 S
0.509 0.714 0.285 S
0.245 0.363 0.531 S
0.009 0.786 0.285 S
0.925 0.385 0.935 S
0.255 0.363 0.031 S
0.408 0.122 0.472 S
0.575 0.885 0.065 S
0.744 0.973 0.792 S
0.256 0.027 0.208 S
0.908 0.378 0.472 S
0.991 0.714 0.785 S
0.009 0.493 0.711 Pb
0.491 0.493 0.211 Pb
0.509 0.507 0.789 Pb
0.237 0.251 0.310 Pb
0.763 0.249 0.810 Pb
0.991 0.507 0.289 Pb
0.737 0.249 0.310 Pb
0.237 0.751 0.190 Pb
0.991 0.007 0.211 Pb
0.263 0.251 0.810 Pb
0.263 0.751 0.690 Pb
0.763 0.749 0.690 Pb
0.009 0.993 0.789 Pb
0.737 0.749 0.190 Pb
0.509 0.007 0.711 Pb
0.491 0.993 0.289 Pb

Record 4
GaPb4S5 PBE relaxed; SG = I4 (79); D(E_F) = 3.0 states/eV/f.u.; raw formation energy = -0.458 eV/atom
1.0
-3.380 -4.869 0.231
3.364 -5.827 2.555
-3.560 -0.848 6.197
S Pb Ga
5 4 1
direct
0.722 0.178 0.373 S
0.900 0.373 0.822 S
0.096 0.627 0.178 S
0.464 0.000 0.000 S
0.273 0.822 0.627 S
0.804 0.799 0.601 Pb
0.404 0.399 0.799 Pb
0.603 0.601 0.201 Pb
0.204 0.201 0.399 Pb
0.041 0.000 0.000 Ga

Record 5
GaPbS3 PBE relaxed; SG = Pm-3m (221); D(E_F) = 2.3 states/eV/f.u.; raw formation energy = -0.124 eV/atom; excess energy over the best structure of this formula in the dataset = 0.346 eV/atom
1.0
-0.718 -3.065 3.595
0.098 -3.645 -3.088
4.723 -0.390 0.610
S Pb Ga
3 1 1
direct
0.000 0.500 0.000 S
0.500 0.000 0.000 S
0.000 0.000 0.500 S
0.500 0.500 0.500 Pb
0.000 0.000 0.000 Ga

Record 6
Ga2PbS PBE relaxed; SG = R-3m (166); D(E_F) = 2.5 states/eV/f.u.; raw formation energy = -0.103 eV/atom; excess energy over the best structure of this formula in the dataset = 0.005 eV/atom
1.0
-2.324 -1.729 -2.008
0.791 -0.768 -3.347
3.134 -8.873 0.922
S Pb Ga
1 1 2
direct
0.500 0.500 0.500 S
0.000 0.000 0.000 Pb
0.892 0.892 0.323 Ga
0.108 0.108 0.677 Ga

Question: Look up the raw formation energy of the fifth one.
Answer: -0.124 eV/atom

Question: The highest raw formation energy belongs to which entry?
Answer: Ga2PbS